#A
Density functional theory data (PBE) for crystalline Fe4Co5 at its relaxed geometry.

a = 8.550 Å, b = 8.550 Å, c = 2.809 Å
α = 90.00°, β = 90.00°, γ = 90.00°
Space group I4/mmm (No. 139)
Unique sites:
Fe  0.000  0.331  0.000 [8 per cell]
Co  0.000  0.000  0.000 [2 per cell]
Co  0.166  0.166  0.500 [8 per cell]

- D(E_F) (states/eV per cell) = 18.51

#B
Density functional theory data (PBE) for crystalline Fe4Co5 at its relaxed geometry.

a = 2.838 Å, b = 8.504 Å, c = 8.527 Å
α = 90.00°, β = 90.00°, γ = 90.00°
Space group Immm (No. 71)
Unique sites:
Fe  0.000  0.166  0.166 [8 per cell]
Co  0.000  0.168  0.500 [4 per cell]
Co  0.000  0.500  0.168 [4 per cell]
Co  0.000  0.500  0.500 [2 per cell]

- D(E_F) (states/eV per cell) = 15.96

#C
Density functional theory data (PBE) for crystalline Fe4Co5 at its relaxed geometry.

a = 7.0304 Å, b = 7.0304 Å, c = 4.8280 Å
α = 90.00°, β = 90.00°, γ = 120.00°
Space group P6_3/mcm (No. 193)
Unique sites:
Fe  0.0000  0.0000  0.0000 [2 per cell]
Fe  0.0000  0.3542  0.2500 [6 per cell]
Co  0.0000  0.3147  0.7500 [6 per cell]
Co  0.3333  0.6667  0.0000 [4 per cell]

- D(E_F) (states/eV per cell) = 21.99

We find #B to be the most stable, with the next structure 20 meV per atom higher.

#A
Density functional theory data (PBE) for crystalline GaFe12Co6 at its relaxed geometry.

a = 8.6094 Å, b = 8.6094 Å, c = 10.6869 Å
α = 90.00°, β = 90.00°, γ = 120.00°
Space group R-3 (No. 148, hexagonal axes)
Unique sites:
Ga  0.0000  0.0000  0.0000 [3 per cell]
Fe  0.0502  0.8616  0.8067 [18 per cell]
Fe  0.0668  0.2361  0.4184 [18 per cell]
Co  0.0262  0.5861  0.7069 [18 per cell]

- D(E_F) (states/eV per cell) = 58.81

#B
Density functional theory data (PBE) for crystalline GaFe12Co6 at its relaxed geometry.

a = 9.2172 Å, b = 9.2172 Å, c = 10.7166 Å
α = 90.00°, β = 90.00°, γ = 120.00°
Space group R-3m (No. 166, hexagonal axes)
Unique sites:
Ga  0.0000  0.0000  0.0000 [3 per cell]
Fe  0.0000  0.3667  0.5000 [18 per cell]
Fe  0.0948  0.1896  0.3881 [18 per cell]
Co  0.0174  0.5087  0.6852 [18 per cell]

- D(E_F) (states/eV per cell) = 53.28

We find #A to be the most stable, with the next structure 360 meV per atom higher.